## Mg6CoBiO8 (GGA+U)

Data for an optimized crystal structure of Mg6CoBiO8.

Unit cell a=4.461 b=4.461 c=8.991 alpha=90.00 beta=90.00 gamma=90.00
Site moments in Bohr magnetons follow the coordinates.
Atoms (fractional coordinates):
Mg 0.500 0.500 0.000  0.00
Mg 0.500 0.500 0.500  0.00
Mg 0.000 0.500 0.223  0.00
Mg 0.000 0.500 0.777  0.00
Mg 0.500 0.000 0.223  0.00
Mg 0.500 0.000 0.777  0.00
Co 0.000 0.000 0.000  1.97
Bi 0.000 0.000 0.500  0.03
O 0.000 0.000 0.242  0.01
O 0.000 0.000 0.758  0.01
O 0.500 0.500 0.251  0.00
O 0.500 0.500 0.749  0.00
O 0.000 0.500 0.000  0.02
O 0.000 0.500 0.500  0.00
O 0.500 0.000 0.000  0.02
O 0.500 0.000 0.500  0.00

Output
Space group ... No. 123
E_tot ... -90.57 eV/f.u.
Distance to the lowest polymorph of the same formula ... 46.6 meV/atom
Density of states at the Fermi level ... 0.072 states/eV/atom